In15Hg4Sb | PBE-GGA | relaxed

Summary:
size of the total moment	0.00	Bohr magnetons per cell
calculated volume	536	Å³/cell
raw formation energy	0.3	eV per formula unit
space-group type	P4/mmm, No. 123

The structure in POSCAR format:
```
In15Hg4Sb
1.0
4.768 0.000 0.000
0.000 4.768 0.000
0.000 0.000 23.569
In Hg Sb
15 4 1
Direct
0.000 0.000 0.000
0.000 0.000 0.200
0.000 0.000 0.399
0.000 0.000 0.601
0.000 0.000 0.800
0.000 0.500 0.101
0.000 0.500 0.300
0.000 0.500 0.500
0.000 0.500 0.700
0.000 0.500 0.899
0.500 0.000 0.101
0.500 0.000 0.300
0.500 0.000 0.500
0.500 0.000 0.700
0.500 0.000 0.899
0.500 0.500 0.202
0.500 0.500 0.398
0.500 0.500 0.602
0.500 0.500 0.798
0.500 0.500 0.000
```